# Li11Cd4

A relaxed Li11Cd4 crystal (PBE-GGA, the Alexandria database).

The structure belongs to space group P4_2/mnm (No. 136); the cell edges are 10.355, 10.355 and 5.353 Å and the angles 90.00°, 90.00° and 90.00°. Symmetry generates all atoms from Li at (0.000, 0.000, 0.000), Li at (0.051, 0.269, 0.000), Li at (0.100, 0.100, 0.500), Li at (0.194, 0.806, 0.253) and Cd at (0.029, 0.356, 0.500).

The value obtained for the density of states at the Fermi level is 0.439 states/eV per atom. As for the formation energy from the elements: -110 meV per atom.

***

# Li3Cd

A relaxed Li3Cd crystal (PBE-GGA, the Alexandria database).

The structure belongs to space group Cmmm (No. 65); the cell edges are 6.345, 7.661 and 3.054 Å and the angles 90.00°, 90.00° and 90.00°. Symmetry generates all atoms from Li at (0.000, 0.000, 0.000), Li at (0.250, 0.250, 0.500) and Cd at (0.000, 0.500, 0.000).

The value obtained for the density of states at the Fermi level is 0.441 states/eV per atom. As for the formation energy from the elements: -144 meV per atom.

***

# Li2Cd

A relaxed Li2Cd crystal (PBE-GGA, the Alexandria database).

The structure belongs to space group I4/mmm (No. 139); the cell edges are 3.347, 3.347 and 9.803 Å and the angles 90.00°, 90.00° and 90.00°. Symmetry generates all atoms from Li at (0.000, 0.000, 0.166) and Cd at (0.000, 0.000, 0.500).

The value obtained for the density of states at the Fermi level is 0.396 states/eV per atom. As for the formation energy from the elements: -193 meV per atom.

***

# Li17Cd2

A relaxed Li17Cd2 crystal (PBE-GGA, the Alexandria database).

The structure belongs to space group R-3m (No. 166, hexagonal axes); the cell edges are 8.5072, 8.5072 and 17.1387 Å and the angles 90.00°, 90.00° and 120.00°. Symmetry generates all atoms from Li at (0.0000, 0.0000, 0.0985), Li at (0.0000, 0.3024, 0.0000), Li at (0.0000, 0.5000, 0.5000), Li at (0.0883, 0.5441, 0.1078) and Cd at (0.0000, 0.0000, 0.2866).

The value obtained for the density of states at the Fermi level is 0.481 states/eV per atom. As for the formation energy from the elements: 3 meV per atom.